Here is a geometry-optimized Bi2Pb2S structure from Alexandria. Energies are from PBE-GGA.

## Properties
As for the total moment: 0.000 μB per atom. The value obtained for the total energy is -37.372 eV per cell. The energy relative to the lowest polymorph listed for this composition comes out at 9 kJ/mol of formula units. As for the density of states at the Fermi level: 6.26 states/eV/cell.

Lattice parameters (Å, degrees): 7.5657 7.5657 5.4411 90.00 90.00 90.00
Closest atoms and distances in Å follow each position.
Atoms (fractional coordinates):
Bi (0.1537, 0.3463, 0.0000)  2 S 2.87
Bi (0.6537, 0.1537, 0.0000)  2 S 2.87
Bi (0.3463, 0.8463, 0.0000)  2 S 2.87
Bi (0.8463, 0.6537, 0.0000)  2 S 2.87
Pb (0.1663, 0.6663, 0.5000)  6 Bi 3.33-3.64, 1 Pb 3.56
Pb (0.6663, 0.8337, 0.5000)  6 Bi 3.33-3.64, 1 Pb 3.56
Pb (0.8337, 0.3337, 0.5000)  6 Bi 3.33-3.64, 1 Pb 3.56
Pb (0.3337, 0.1663, 0.5000)  6 Bi 3.33-3.64, 1 Pb 3.56
S (0.5000, 0.5000, 0.0000)  4 Bi 2.87
S (0.0000, 0.0000, 0.0000)  4 Bi 2.87

Here is a geometry-optimized Bi3PbS6 structure from Alexandria. Energies are from PBE-GGA.

## Properties
As for the total moment: 0.000 μB per atom. The value obtained for the total energy is -42.890 eV per cell. The energy relative to the lowest polymorph listed for this composition comes out at 18 kJ/mol of formula units. As for the density of states at the Fermi level: 6.80 states/eV/cell.

Lattice parameters (Å, degrees): 7.1467 7.1467 7.6067 61.98 61.98 60.00
Closest atoms and distances in Å follow each position.
Atoms (fractional coordinates):
S (0.4521, 0.7482, 0.7516)  3 Bi 2.80-2.84, 1 Pb 2.92
S (0.7482, 0.0481, 0.7516)  3 Bi 2.80-2.84, 1 Pb 2.92
S (0.9517, 0.5370, 0.2527)  3 Bi 2.82-2.85, 1 Pb 2.85
S (0.0481, 0.4521, 0.7516)  3 Bi 2.80-2.84, 1 Pb 2.92
S (0.2586, 0.9517, 0.2527)  3 Bi 2.82-2.85, 1 Pb 2.85
S (0.5370, 0.2586, 0.2527)  3 Bi 2.82-2.85, 1 Pb 2.85
Bi (0.6544, 0.6544, 0.0369)  6 S 2.80-2.85
Bi (0.1490, 0.1490, 0.5531)  6 S 2.83-2.84
Bi (0.3475, 0.3475, 0.9576)  6 S 2.82-2.84
Pb (0.8535, 0.8535, 0.4396)  6 S 2.85-2.92

Here is a geometry-optimized Bi2Pb2S5 structure from Alexandria. Energies are from PBE-GGA.

## Properties
As for the total moment: 0.000 μB per atom. The value obtained for the total energy is -316.721 eV per cell.

Lattice parameters (Å, degrees): 4.0905 19.6825 24.6538 90.00 90.00 90.00
Closest atoms and distances in Å follow each position.
Atoms (fractional coordinates):
Pb (0.7500, 0.7877, 0.4604)  3 S 2.72-2.90
Pb (0.7500, 0.5951, 0.7902)  3 S 2.85-3.15
Pb (0.7500, 0.7123, 0.9604)  3 S 2.72-2.90
Pb (0.7500, 0.4664, 0.9324)  3 S 2.78-2.91
Pb (0.7500, 0.9049, 0.2902)  3 S 2.85-3.15
Pb (0.7500, 0.8030, 0.1269)  5 S 2.95-3.05
Pb (0.2500, 0.5336, 0.0676)  3 S 2.78-2.91
Pb (0.2500, 0.4049, 0.2098)  3 S 2.85-3.15
Pb (0.2500, 0.1970, 0.8731)  5 S 2.95-3.05
Pb (0.2500, 0.9664, 0.5676)  3 S 2.78-2.91
Pb (0.2500, 0.2877, 0.0396)  3 S 2.72-2.90
Pb (0.2500, 0.3030, 0.3731)  5 S 2.95-3.05
Pb (0.2500, 0.0951, 0.7098)  3 S 2.85-3.15
Pb (0.2500, 0.2123, 0.5396)  3 S 2.72-2.90
Pb (0.7500, 0.6970, 0.6269)  5 S 2.95-3.05
Pb (0.7500, 0.0336, 0.4324)  3 S 2.78-2.91
S (0.2500, 0.6859, 0.8798)  1 Bi 2.58
S (0.2500, 0.1293, 0.0827)  2 Bi 2.81
S (0.7500, 0.6293, 0.4173)  2 Bi 2.81
S (0.7500, 0.5847, 0.0029)  4 Pb 2.72-2.91
S (0.2500, 0.2691, 0.7305)  3 Bi 2.69-2.97
S (0.7500, 0.3704, 0.3054)  1 Bi 2.61
S (0.7500, 0.9418, 0.0715)  4 Bi 2.94-2.96, 1 Pb 3.05
S (0.7500, 0.7691, 0.7695)  3 Bi 2.69-2.97
S (0.2500, 0.6296, 0.6946)  1 Bi 2.61
S (0.2500, 0.2309, 0.2305)  3 Bi 2.69-2.97
S (0.2500, 0.7172, 0.5384)  1 Bi 2.57
S (0.2500, 0.8429, 0.6469)  2 Bi 2.71
S (0.7500, 0.4808, 0.1567)  1 Bi 2.69, 2 Pb 2.85
S (0.7500, 0.8707, 0.9173)  2 Bi 2.81
S (0.2500, 0.3707, 0.5827)  2 Bi 2.81
S (0.2500, 0.0847, 0.4971)  4 Pb 2.72-2.91
S (0.7500, 0.7309, 0.2695)  3 Bi 2.69-2.97
S (0.7500, 0.5582, 0.5715)  4 Bi 2.94-2.96, 1 Pb 3.05
S (0.2500, 0.6571, 0.1469)  2 Bi 2.71
S (0.2500, 0.9808, 0.3433)  1 Bi 2.69, 2 Pb 2.85
S (0.7500, 0.0355, 0.2166)  4 Bi 2.80-3.12
S (0.2500, 0.5355, 0.2834)  4 Bi 2.80-3.12
S (0.7500, 0.3429, 0.8531)  2 Bi 2.71
S (0.7500, 0.1859, 0.6202)  1 Bi 2.58
S (0.7500, 0.2172, 0.9616)  1 Bi 2.57
S (0.2500, 0.7828, 0.0384)  1 Bi 2.57
S (0.2500, 0.4418, 0.4285)  4 Bi 2.94-2.96, 1 Pb 3.05
S (0.2500, 0.8141, 0.3798)  1 Bi 2.58
S (0.2500, 0.9645, 0.7834)  4 Bi 2.80-3.12
S (0.7500, 0.2828, 0.4616)  1 Bi 2.57
S (0.7500, 0.1571, 0.3531)  2 Bi 2.71
S (0.2500, 0.5192, 0.8433)  1 Bi 2.69, 2 Pb 2.85
S (0.7500, 0.9153, 0.5029)  4 Pb 2.72-2.91
S (0.7500, 0.1296, 0.8054)  1 Bi 2.61
S (0.2500, 0.4153, 0.9971)  4 Pb 2.72-2.91
S (0.7500, 0.4645, 0.7166)  4 Bi 2.80-3.12
S (0.7500, 0.0192, 0.6567)  1 Bi 2.69, 2 Pb 2.85
S (0.7500, 0.3141, 0.1202)  1 Bi 2.58
S (0.2500, 0.0582, 0.9285)  4 Bi 2.94-2.96, 1 Pb 3.05
S (0.2500, 0.8704, 0.1946)  1 Bi 2.61
Bi (0.7500, 0.8964, 0.7046)  4 S 2.69-2.97
Bi (0.2500, 0.9895, 0.1482)  3 S 2.61-2.80
Bi (0.7500, 0.1960, 0.1652)  3 S 2.58-2.69
Bi (0.2500, 0.8994, 0.9919)  3 S 2.57-2.81
Bi (0.2500, 0.6960, 0.3348)  3 S 2.58-2.69
Bi (0.2500, 0.6006, 0.4919)  3 S 2.57-2.81
Bi (0.7500, 0.3040, 0.6652)  3 S 2.58-2.69
Bi (0.2500, 0.5105, 0.6482)  3 S 2.61-2.80
Bi (0.7500, 0.3994, 0.5081)  3 S 2.57-2.81
Bi (0.2500, 0.3965, 0.7954)  4 S 2.69-2.97
Bi (0.7500, 0.0105, 0.8518)  3 S 2.61-2.80
Bi (0.7500, 0.1006, 0.0081)  3 S 2.57-2.81
Bi (0.7500, 0.4895, 0.3518)  3 S 2.61-2.80
Bi (0.7500, 0.6036, 0.2046)  4 S 2.69-2.97
Bi (0.2500, 0.1036, 0.2954)  4 S 2.69-2.97
Bi (0.2500, 0.8040, 0.8348)  3 S 2.58-2.69

Here is a geometry-optimized BiPb2S structure from Alexandria. Energies are from PBE-GGA.

## Properties
As for the total moment: 0.000 μB per atom. The value obtained for the total energy is -15.900 eV per cell. The energy relative to the lowest polymorph listed for this composition comes out at 3 kJ/mol of formula units. As for the density of states at the Fermi level: 0.80 states/eV/cell.

Lattice parameters (Å, degrees): 3.6269 3.6269 8.5441 90.00 90.00 90.00
Closest atoms and distances in Å follow each position.
Atoms (fractional coordinates):
Pb (0.0000, 0.0000, 0.7952)  4 S 3.10
Pb (0.0000, 0.0000, 0.2048)  4 S 3.10
Bi (0.5000, 0.5000, 0.5000)  8 Pb 3.60, 4 Bi 3.63
S (0.5000, 0.5000, 0.0000)  8 Pb 3.10

Here is a geometry-optimized Bi2PbS structure from Alexandria. Energies are from PBE-GGA.

## Properties
As for the total moment: 0.000 μB per atom. The value obtained for the total energy is -30.106 eV per cell. The energy relative to the lowest polymorph listed for this composition comes out at 0 kJ/mol of formula units. As for the density of states at the Fermi level: 3.40 states/eV/cell.

Lattice parameters (Å, degrees): 6.3401 6.3401 8.9447 69.24 69.24 90.00
Closest atoms and distances in Å follow each position.
Atoms (fractional coordinates):
Bi (0.3750, 0.4355, 0.7500)  2 S 2.77
Bi (0.8750, 0.8145, 0.7500)  2 S 2.77
Bi (0.1855, 0.6250, 0.2500)  2 S 2.77
Bi (0.5645, 0.1250, 0.2500)  2 S 2.77
S (0.5000, 0.5000, 0.0000)  4 Bi 2.77
S (0.2500, 0.7500, 0.5000)  4 Bi 2.77
Pb (0.0000, 0.0000, 0.0000)  4 Bi 3.18
Pb (0.7500, 0.2500, 0.5000)  4 Bi 3.18

Here is a geometry-optimized Bi3Pb5S12 structure from Alexandria. Energies are from PBE-GGA.

## Properties
As for the total moment: 0.000 μB per atom. The value obtained for the total energy is -328.946 eV per cell. As for the density of states at the Fermi level: 41.39 states/eV/cell.

Lattice parameters (Å, degrees): 14.2970 14.2970 14.2970 109.47 109.47 109.47
Closest atoms and distances in Å follow each position.
Atoms (fractional coordinates):
S (0.4479, 0.6741, 0.0851)  2 Pb 2.62-2.84
S (0.5521, 0.2262, 0.1372)  2 Pb 2.62-2.84
S (0.2262, 0.6741, 0.0890)  2 Pb 2.62-2.84
S (0.7738, 0.3259, 0.9110)  2 Pb 2.62-2.84
S (0.3628, 0.4149, 0.0890)  2 Pb 2.62-2.84
S (0.7262, 0.5890, 0.1741)  2 Pb 2.62-2.84
S (0.5890, 0.7262, 0.6741)  2 Pb 2.62-2.84
S (0.8628, 0.5890, 0.9149)  2 Pb 2.62-2.84
S (0.9149, 0.8259, 0.5521)  2 Pb 2.62-2.84
S (0.5890, 0.8628, 0.4149)  2 Pb 2.62-2.84
S (0.9110, 0.0851, 0.6372)  2 Pb 2.62-2.84
S (0.1741, 0.0851, 0.9479)  2 Pb 2.62-2.84
S (0.5851, 0.6372, 0.4110)  2 Pb 2.62-2.84
S (0.6741, 0.2262, 0.5890)  2 Pb 2.62-2.84
S (0.3259, 0.7738, 0.4110)  2 Pb 2.62-2.84
S (0.9479, 0.3628, 0.2738)  2 Pb 2.62-2.84
S (0.5851, 0.9479, 0.6741)  2 Pb 2.62-2.84
S (0.4149, 0.3628, 0.5890)  2 Pb 2.62-2.84
S (0.1372, 0.4110, 0.0851)  2 Pb 2.62-2.84
S (0.7738, 0.4479, 0.3628)  2 Pb 2.62-2.84
S (0.4149, 0.0521, 0.3259)  2 Pb 2.62-2.84
S (0.2262, 0.5521, 0.6372)  2 Pb 2.62-2.84
S (0.3259, 0.5521, 0.4149)  2 Pb 2.62-2.84
S (0.8259, 0.9110, 0.2738)  2 Pb 2.62-2.84
S (0.6372, 0.5851, 0.9110)  2 Pb 2.62-2.84
S (0.6741, 0.4479, 0.5851)  2 Pb 2.62-2.84
S (0.4479, 0.7738, 0.8628)  2 Pb 2.62-2.84
S (0.8259, 0.9149, 0.0521)  2 Pb 2.62-2.84
S (0.0851, 0.1741, 0.4479)  2 Pb 2.62-2.84
S (0.7262, 0.1372, 0.0521)  2 Pb 2.62-2.84
S (0.2738, 0.4110, 0.8259)  2 Pb 2.62-2.84
S (0.0521, 0.6372, 0.7262)  2 Pb 2.62-2.84
S (0.3628, 0.9479, 0.7738)  2 Pb 2.62-2.84
S (0.0521, 0.4149, 0.8259)  2 Pb 2.62-2.84
S (0.0851, 0.9110, 0.1372)  2 Pb 2.62-2.84
S (0.9110, 0.8259, 0.7738)  2 Pb 2.62-2.84
S (0.0890, 0.1741, 0.2262)  2 Pb 2.62-2.84
S (0.2738, 0.8628, 0.9479)  2 Pb 2.62-2.84
S (0.1741, 0.0890, 0.7262)  2 Pb 2.62-2.84
S (0.9149, 0.0890, 0.8628)  2 Pb 2.62-2.84
S (0.4110, 0.2738, 0.3259)  2 Pb 2.62-2.84
S (0.9479, 0.5851, 0.1741)  2 Pb 2.62-2.84
S (0.4110, 0.1372, 0.5851)  2 Pb 2.62-2.84
S (0.5521, 0.3259, 0.9149)  2 Pb 2.62-2.84
S (0.1372, 0.7262, 0.5521)  2 Pb 2.62-2.84
S (0.8628, 0.2738, 0.4479)  2 Pb 2.62-2.84
S (0.6372, 0.0521, 0.2262)  2 Pb 2.62-2.84
S (0.0890, 0.9149, 0.3628)  2 Pb 2.62-2.84
Pb (0.2500, 0.8750, 0.1250)  4 S 2.62
Pb (0.0000, 0.0000, 0.5000)  6 S 2.84
Pb (0.7500, 0.1250, 0.8750)  4 S 2.62
Pb (0.6250, 0.8750, 0.2500)  4 S 2.62
Pb (0.5000, 0.0000, 0.5000)  6 S 2.84
Pb (0.5000, 0.5000, 0.5000)  6 S 2.84
Pb (0.3750, 0.1250, 0.7500)  4 S 2.62
Pb (0.2500, 0.3750, 0.6250)  4 S 2.62
Pb (0.5000, 0.0000, 0.0000)  6 S 2.84
Pb (0.0000, 0.5000, 0.5000)  6 S 2.84
Pb (0.1250, 0.7500, 0.3750)  4 S 2.62
Pb (0.1250, 0.3750, 0.2500)  4 S 2.62
Pb (0.3750, 0.2500, 0.1250)  4 S 2.62
Pb (0.8750, 0.6250, 0.7500)  4 S 2.62
Pb (0.8750, 0.2500, 0.6250)  4 S 2.62
Pb (0.5000, 0.5000, 0.0000)  6 S 2.84
Pb (0.7500, 0.6250, 0.3750)  4 S 2.62
Pb (0.6250, 0.7500, 0.8750)  4 S 2.62
Pb (0.0000, 0.0000, 0.0000)  6 S 2.84
Pb (0.0000, 0.5000, 0.0000)  6 S 2.84
Bi (0.3750, 0.7500, 0.6250)  8 S 3.02-3.06
Bi (0.8750, 0.7500, 0.1250)  8 S 3.02-3.06
Bi (0.7500, 0.8750, 0.6250)  8 S 3.02-3.06
Bi (0.8750, 0.1250, 0.2500)  8 S 3.02-3.06
Bi (0.1250, 0.2500, 0.8750)  8 S 3.02-3.06
Bi (0.2500, 0.6250, 0.8750)  8 S 3.02-3.06
Bi (0.3750, 0.6250, 0.2500)  8 S 3.02-3.06
Bi (0.6250, 0.2500, 0.3750)  8 S 3.02-3.06
Bi (0.7500, 0.3750, 0.1250)  8 S 3.02-3.06
Bi (0.1250, 0.8750, 0.7500)  8 S 3.02-3.06
Bi (0.2500, 0.1250, 0.3750)  8 S 3.02-3.06
Bi (0.6250, 0.3750, 0.7500)  8 S 3.02-3.06

Here is a geometry-optimized Bi3PbS structure from Alexandria. Energies are from PBE-GGA.

## Properties
As for the total moment: 0.232 μB per atom. The value obtained for the total energy is -13.961 eV per cell. The energy relative to the lowest polymorph listed for this composition comes out at 396 kJ/mol of formula units. As for the density of states at the Fermi level: 8.01 states/eV/cell.

Lattice parameters (Å, degrees): 5.9101 5.9101 5.9101 90.00 90.00 90.00
Closest atoms and distances in Å follow each position.
Atoms (fractional coordinates):
Pb (0.0000, 0.0000, 0.0000)  6 Bi 2.96
Bi (0.0000, 0.5000, 0.0000)  2 Pb 2.96
Bi (0.5000, 0.0000, 0.0000)  2 Pb 2.96
Bi (0.0000, 0.0000, 0.5000)  2 Pb 2.96
S (0.5000, 0.5000, 0.5000)  12 Bi 4.18

Here is a geometry-optimized BiPb2S structure from Alexandria. Energies are from PBE-GGA.

## Properties
As for the total moment: 0.000 μB per atom. The value obtained for the total energy is -15.899 eV per cell. The energy relative to the lowest polymorph listed for this composition comes out at 3 kJ/mol of formula units. As for the density of states at the Fermi level: 1.93 states/eV/cell.

Lattice parameters (Å, degrees): 4.2007 4.2007 8.4656 75.63 75.63 60.00
Closest atoms and distances in Å follow each position.
Atoms (fractional coordinates):
S (0.0000, 0.0000, 0.0000)  6 Pb 2.98
Bi (0.5000, 0.5000, 0.5000)  6 Pb 3.36
Pb (0.2625, 0.2625, 0.2125)  3 S 2.98
Pb (0.7375, 0.7375, 0.7875)  3 S 2.98